No. 1
{
  "formula": "CaCeCuRh",
  "functional": "PBE-GGA",
  "state": "relaxed",
  "cell": [[0.000, 3.495, 3.495], [3.495, 0.000, 3.495], [3.495, 3.495, 0.000]],
  "species": ["Ca", "Ce", "Cu", "Rh"],
  "fractional_positions": [[0.000, 0.000, 0.000], [0.500, 0.500, 0.500], [0.750, 0.750, 0.750], [0.250, 0.250, 0.250]],
  "delta_e_f_mev_per_atom": -298,
  "total_magnetization_mub_per_cell": 0.8,
  "crystal_system": "cubic",
  "sg": "No. 216"
}

=====

No. 2
{
  "formula": "Er2Zn16Cd",
  "functional": "PBE-GGA",
  "state": "relaxed",
  "cell": [[4.505, 2.601, 4.405], [-4.505, 2.601, 4.405], [0.000, -5.202, 4.405]],
  "species": ["Er", "Er", "Zn", "Zn", "Zn", "Zn", "Zn", "Zn", "Zn", "Zn", "Zn", "Zn", "Zn", "Zn", "Zn", "Zn", "Zn", "Zn", "Cd"],
  "fractional_positions": [[0.000, 0.000, 0.000], [0.323, 0.323, 0.323], [0.015, 0.015, 0.493], [0.015, 0.493, 0.015], [0.167, 0.656, 0.656], [0.307, 0.307, 0.824], [0.307, 0.824, 0.307], [0.358, 0.660, 0.961], [0.358, 0.961, 0.660], [0.493, 0.015, 0.015], [0.552, 0.552, 0.552], [0.656, 0.167, 0.656], [0.656, 0.656, 0.167], [0.660, 0.358, 0.961], [0.660, 0.961, 0.358], [0.824, 0.307, 0.307], [0.961, 0.358, 0.660], [0.961, 0.660, 0.358], [0.759, 0.759, 0.759]],
  "delta_e_f_mev_per_atom": -208,
  "total_magnetization_mub_per_cell": 0.0,
  "crystal_system": "trigonal",
  "sg": "No. 160"
}

=====

No. 3
{
  "formula": "LaTlRe",
  "functional": "PBE-GGA",
  "state": "relaxed",
  "cell": [[5.761, -1.983, 0.000], [5.761, 1.983, 0.000], [-3.418, 0.000, 7.196]],
  "species": ["La", "La", "Tl", "Tl", "Re", "Re"],
  "fractional_positions": [[0.000, 0.000, 0.000], [0.500, 0.500, 0.500], [0.233, 0.233, 0.822], [0.767, 0.767, 0.178], [0.197, 0.197, 0.416], [0.803, 0.803, 0.584]],
  "delta_e_f_mev_per_atom": 199,
  "total_magnetization_mub_per_cell": 0.0,
  "crystal_system": "monoclinic",
  "e_above_lowest_polymorph_kcal_per_mol_atoms": 5.79,
  "sg": "No. 12"
}

=====

No. 4
{
  "formula": "MgZr2NiH",
  "functional": "PBE-GGA",
  "state": "relaxed",
  "cell": [[4.483, 0.000, 0.000], [0.000, 4.483, 0.000], [0.000, 0.000, 3.821]],
  "species": ["Mg", "Zr", "Zr", "Ni", "H"],
  "fractional_positions": [[0.000, 0.000, 0.000], [0.000, 0.500, 0.500], [0.500, 0.000, 0.500], [0.500, 0.500, 0.000], [0.500, 0.500, 0.500]],
  "final_energy_ev_per_atom": -5.714,
  "total_magnetization_mub_per_cell": 0.0,
  "crystal_system": "tetragonal",
  "sg": "No. 123"
}

=====

No. 5
{
  "formula": "Nd7Dy",
  "functional": "PBE-GGA",
  "state": "relaxed",
  "cell": [[0.000, 5.178, 5.178], [5.178, 0.000, 5.178], [5.178, 5.178, 0.000]],
  "species": ["Nd", "Nd", "Nd", "Nd", "Nd", "Nd", "Nd", "Dy"],
  "fractional_positions": [[0.000, 0.000, 0.000], [0.000, 0.000, 0.500], [0.000, 0.500, 0.000], [0.000, 0.500, 0.500], [0.500, 0.000, 0.000], [0.500, 0.000, 0.500], [0.500, 0.500, 0.000], [0.500, 0.500, 0.500]],
  "delta_e_f_mev_per_atom": 8,
  "total_magnetization_mub_per_cell": 0.0,
  "crystal_system": "cubic",
  "sg": "No. 225"
}

=====

No. 6
{
  "formula": "TaIn2Os",
  "functional": "PBE-GGA",
  "state": "relaxed",
  "cell": [[3.157, 0.000, 0.000], [0.000, 3.157, 0.000], [0.000, 0.000, 7.399]],
  "species": ["Ta", "In", "In", "Os"],
  "fractional_positions": [[0.000, 0.000, 0.000], [0.500, 0.500, 0.273], [0.500, 0.500, 0.727], [0.000, 0.000, 0.500]],
  "delta_e_f_mev_per_atom": 478,
  "total_magnetization_mub_per_cell": 0.0,
  "crystal_system": "tetragonal",
  "e_above_lowest_polymorph_kcal_per_mol_atoms": 10.22,
  "sg": "No. 123"
}

=====

No. 7
{
  "formula": "ZnReSb",
  "functional": "PBE-GGA",
  "state": "relaxed",
  "cell": [[0.000, 3.106, 3.106], [3.106, 0.000, 3.106], [3.106, 3.106, 0.000]],
  "species": ["Zn", "Re", "Sb"],
  "fractional_positions": [[0.000, 0.000, 0.000], [0.750, 0.750, 0.750], [0.500, 0.500, 0.500]],
  "e_form_raw_ev_per_atom": 0.53,
  "total_magnetization_mub_per_cell": 0.0,
  "crystal_system": "cubic",
  "e_above_lowest_polymorph_kcal_per_mol_atoms": 6.17,
  "sg": "No. 216"
}

=====

No. 8
{
  "formula": "BH4S",
  "functional": "PBE-GGA",
  "state": "relaxed",
  "cell": [[3.968, 0.000, 0.000], [0.005, 4.082, 0.000], [1.902, 0.090, 7.239]],
  "species": ["B", "B", "H", "H", "H", "H", "H", "H", "H", "H", "S", "S"],
  "fractional_positions": [[0.000, 0.000, 0.000], [0.500, 0.500, 0.000], [0.074, 0.011, 0.833], [0.254, 0.260, 0.001], [0.258, 0.741, 0.993], [0.409, 0.511, 0.175], [0.591, 0.489, 0.825], [0.742, 0.259, 0.007], [0.746, 0.740, 0.999], [0.926, 0.989, 0.167], [0.223, 0.616, 0.460], [0.777, 0.384, 0.540]],
  "total_magnetization_mub_per_cell": 0.0,
  "crystal_system": "triclinic",
  "e_above_lowest_polymorph_kcal_per_mol_atoms": 8.05,
  "sg": "No. 2"
}

=====

No. 9
{
  "formula": "Li3MgZn2",
  "functional": "PBE-GGA",
  "state": "relaxed",
  "cell": [[4.589, 0.000, 0.000], [-2.294, 3.974, 0.000], [0.000, 0.000, 11.208]],
  "species": ["Li", "Li", "Li", "Li", "Li", "Li", "Mg", "Mg", "Zn", "Zn", "Zn", "Zn"],
  "fractional_positions": [[0.000, 0.000, 0.000], [0.000, 0.000, 0.500], [0.333, 0.667, 0.110], [0.333, 0.667, 0.390], [0.667, 0.333, 0.610], [0.667, 0.333, 0.890], [0.000, 0.000, 0.250], [0.000, 0.000, 0.750], [0.333, 0.667, 0.634], [0.333, 0.667, 0.866], [0.667, 0.333, 0.134], [0.667, 0.333, 0.366]],
  "delta_e_f_mev_per_atom": -128,
  "total_magnetization_mub_per_cell": 0.0,
  "crystal_system": "hexagonal",
  "e_above_lowest_polymorph_kcal_per_mol_atoms": 0.22,
  "sg": "No. 194"
}

=====

No. 10
{
  "formula": "KRb2Sn2S4",
  "functional": "PBE-GGA",
  "state": "relaxed",
  "cell": [[8.441, -2.633, 0.000], [8.441, 2.633, 0.000], [-1.256, 0.000, 7.113]],
  "species": ["K", "Rb", "Rb", "Sn", "Sn", "S", "S", "S", "S"],
  "fractional_positions": [[0.000, 0.000, 0.000], [0.140, 0.140, 0.576], [0.860, 0.860, 0.424], [0.326, 0.326, 0.970], [0.674, 0.674, 0.030], [0.197, 0.197, 0.139], [0.437, 0.437, 0.233], [0.563, 0.563, 0.767], [0.803, 0.803, 0.861]],
  "e_form_raw_ev_per_atom": -0.80,
  "total_magnetization_mub_per_cell": 0.0,
  "crystal_system": "monoclinic",
  "sg": "No. 12"
}

=====

No. 11
{
  "formula": "ZrReP2S",
  "functional": "PBE-GGA",
  "state": "relaxed",
  "cell": [[5.064, 0.000, 0.000], [0.000, 5.064, 0.000], [0.000, 0.000, 4.807]],
  "species": ["Zr", "Re", "P", "P", "S"],
  "fractional_positions": [[0.000, 0.000, 0.000], [0.500, 0.500, 0.500], [0.000, 0.500, 0.000], [0.500, 0.000, 0.000], [0.000, 0.000, 0.500]],
  "e_form_raw_ev_per_atom": 1.13,
  "total_magnetization_mub_per_cell": 3.7,
  "crystal_system": "tetragonal",
  "e_above_lowest_polymorph_kcal_per_mol_atoms": 17.12,
  "sg": "No. 123"
}

=====

No. 12
{
  "formula": "Pm8Cu2Rh",
  "functional": "PBE-GGA",
  "state": "relaxed",
  "cell": [[4.294, -6.503, 0.000], [4.294, 6.503, 0.000], [-2.315, 0.000, 5.762]],
  "species": ["Pm", "Pm", "Pm", "Pm", "Pm", "Pm", "Pm", "Pm", "Cu", "Cu", "Rh"],
  "fractional_positions": [[0.000, 0.000, 0.000], [0.015, 0.274, 0.554], [0.167, 0.557, 0.184], [0.274, 0.015, 0.554], [0.453, 0.714, 0.803], [0.557, 0.167, 0.184], [0.714, 0.453, 0.803], [0.727, 0.727, 0.380], [0.059, 0.676, 0.690], [0.676, 0.059, 0.690], [0.370, 0.370, 0.387]],
  "delta_e_f_mev_per_atom": -73,
  "total_magnetization_mub_per_cell": 0.0,
  "crystal_system": "monoclinic",
  "e_above_lowest_polymorph_kcal_per_mol_atoms": 2.38,
  "sg": "No. 8"
}

=====

What did the twelfth record say?
{
  "formula": "Pm8Cu2Rh",
  "functional": "PBE-GGA",
  "state": "relaxed",
  "cell": [[4.294, -6.503, 0.000], [4.294, 6.503, 0.000], [-2.315, 0.000, 5.762]],
  "species": ["Pm", "Pm", "Pm", "Pm", "Pm", "Pm", "Pm", "Pm", "Cu", "Cu", "Rh"],
  "fractional_positions": [[0.000, 0.000, 0.000], [0.015, 0.274, 0.554], [0.167, 0.557, 0.184], [0.274, 0.015, 0.554], [0.453, 0.714, 0.803], [0.557, 0.167, 0.184], [0.714, 0.453, 0.803], [0.727, 0.727, 0.380], [0.059, 0.676, 0.690], [0.676, 0.059, 0.690], [0.370, 0.370, 0.387]],
  "delta_e_f_mev_per_atom": -73,
  "total_magnetization_mub_per_cell": 0.0,
  "crystal_system": "monoclinic",
  "e_above_lowest_polymorph_kcal_per_mol_atoms": 2.38,
  "sg": "No. 8"
}